(1)
This record from the Alexandria database describes a relaxed structure of TaCu3. The functional is PBE.

Values from the calculation:
calculated total energy = -46.92 eV per cell
E_form = 0.171 eV per atom

a b c (Å): 8.817 2.681 4.721
angles (deg): 90.00 99.63 90.00
Space group C2/m (No. 12)
One atom of each set of equivalent atoms:
Ta 0.000 0.000 0.000 (multiplicity 2)
Cu 0.000 0.500 0.500 (multiplicity 2)
Cu 0.245 0.000 0.740 (multiplicity 4)

=====

(2)
This record from the Alexandria database describes a relaxed structure of Pr4Ni2Sn5. The functional is PBE.

Values from the calculation:
calculated total energy = -56.99 eV per cell
E_form = -0.572 eV per atom

a b c (Å): 7.461 4.417 8.907
angles (deg): 90.00 90.49 90.00
Space group P2/m (No. 10)
One atom of each set of equivalent atoms:
Pr 0.216 0.000 0.362 (multiplicity 2)
Pr 0.235 0.000 0.903 (multiplicity 2)
Ni 0.071 0.500 0.118 (multiplicity 2)
Sn 0.118 0.500 0.638 (multiplicity 2)
Sn 0.418 0.500 0.152 (multiplicity 2)
Sn 0.500 0.500 0.500 (multiplicity 1)

=====

(3)
This record from the Alexandria database describes a relaxed structure of Ta3Br7Cl. The functional is PBE.

Values from the calculation:
calculated total energy = -58.42 eV per cell
formation energy from raw total energies = -898 kJ/mol of formula units

a b c (Å): 7.0872 7.0872 7.2805
angles (deg): 90.00 90.00 120.00
Space group P3m1 (No. 156)
One atom of each set of equivalent atoms:
Ta 0.1996 0.3993 0.0000 (multiplicity 3)
Br 0.0000 0.0000 0.1910 (multiplicity 1)
Br 0.0029 0.5015 0.2454 (multiplicity 3)
Br 0.3372 0.1686 0.8003 (multiplicity 3)
Cl 0.3333 0.6667 0.7478 (multiplicity 1)

=====

(4)
This record from the Alexandria database describes a relaxed structure of Pr7Ho4Sc. The functional is PBE.

Values from the calculation:
calculated total energy = -57.83 eV per cell
relative energy among the computed polymorphs = 0.0 meV per atom
E_form = 0.023 eV per atom

a b c (Å): 6.265 7.312 9.014
angles (deg): 90.00 103.31 90.00
Space group P2/m (No. 10)
One atom of each set of equivalent atoms:
Pr 0.000 0.000 0.000 (multiplicity 1)
Pr 0.219 0.500 0.665 (multiplicity 2)
Pr 0.229 0.000 0.662 (multiplicity 2)
Pr 0.500 0.255 0.000 (multiplicity 2)
Ho 0.275 0.254 0.329 (multiplicity 4)
Sc 0.000 0.500 0.000 (multiplicity 1)

=====

(5)
This record from the Alexandria database describes a relaxed structure of NaCaSnF5. The functional is PBE.

Values from the calculation:
calculated total energy = -161.18 eV per cell
formation energy from raw total energies = -2278 kJ/mol of formula units

a b c (Å): 8.646 9.201 8.663
angles (deg): 90.00 117.55 90.00
Space group C2/c (No. 15)
One atom of each set of equivalent atoms:
Na 0.000 0.043 0.250 (multiplicity 4)
Ca 0.250 0.250 0.000 (multiplicity 4)
Sn 0.000 0.426 0.250 (multiplicity 4)
F 0.000 0.217 0.750 (multiplicity 4)
F 0.094 0.247 0.156 (multiplicity 8)
F 0.245 0.499 0.008 (multiplicity 8)

=====

(6)
This record from the Alexandria database describes a relaxed structure of ZnSiNi. The functional is PBE.

Values from the calculation:
calculated total energy = -12.84 eV per cell
formation energy from raw total energies = -35 kJ/mol of formula units

a b c (Å): 2.7573 2.7573 5.9256
angles (deg): 90.00 90.00 120.00
Space group P3m1 (No. 156)
One atom of each set of equivalent atoms:
Zn 0.0000 0.0000 0.0000 (multiplicity 1)
Si 0.6667 0.3333 0.6226 (multiplicity 1)
Ni 0.3333 0.6667 0.3380 (multiplicity 1)